No. 1
A plane-wave DFT calculation with GGA-PBE was carried out for an optimized crystal structure of HoScGaNi.

Unit cell a=4.774 b=4.774 c=4.774 alpha=60.00 beta=60.00 gamma=60.00
Element x y z (fractional)
1 Sc 0.250 0.250 0.250
2 Ni 0.500 0.500 0.500
3 Ho 0.750 0.750 0.750
4 Ga 0.000 0.000 0.000

Values from the calculation:
- crystal system = cubic
- total energy (eV/cell) = -21.636
- energy of formation (kJ per mole of atoms) = -46
- magnetic moment (μB/f.u.) = 0.0
- energy relative to the lowest polymorph listed for this composition (meV per atom) = 42.8

No. 2
A plane-wave DFT calculation with GGA-PBE was carried out for an optimized crystal structure of LiCuH3Pd2.

Unit cell a=6.345 b=6.345 c=6.345 alpha=50.72 beta=50.72 gamma=50.72
Element x y z (fractional)
1 Li 0.711 0.711 0.711
2 Li 0.289 0.289 0.289
3 Cu 0.430 0.430 0.430
4 Cu 0.570 0.570 0.570
5 H 0.205 0.768 0.768
6 H 0.768 0.205 0.768
7 H 0.768 0.768 0.205
8 H 0.795 0.232 0.232
9 H 0.232 0.795 0.232
10 H 0.232 0.232 0.795
11 Pd 0.000 0.000 0.000
12 Pd 0.500 0.000 0.000
13 Pd 0.000 0.500 0.000
14 Pd 0.000 0.000 0.500

Values from the calculation:
- crystal system = trigonal
- total energy (eV/cell) = -53.082
- magnetic moment (μB/f.u.) = 0.0

No. 3
A plane-wave DFT calculation with GGA-PBE was carried out for an optimized crystal structure of PuCuPbS3.

Unit cell a=3.965 b=8.341 c=8.625 alpha=102.97 beta=90.00 gamma=90.00
Element x y z (fractional)
1 Pu 0.250 0.672 0.167
2 Pu 0.750 0.328 0.833
3 Cu 0.250 0.082 0.581
4 Cu 0.750 0.918 0.419
5 Pb 0.250 0.188 0.229
6 Pb 0.750 0.812 0.771
7 S 0.750 0.893 0.141
8 S 0.250 0.107 0.859
9 S 0.250 0.788 0.491
10 S 0.750 0.212 0.509
11 S 0.750 0.440 0.161
12 S 0.250 0.560 0.839

Values from the calculation:
- ΔE_f (raw) (kcal/mol of atoms) = -21.07
- crystal system = monoclinic
- total energy (eV/cell) = -80.003
- magnetic moment (μB/f.u.) = 5.0

No. 4
A plane-wave DFT calculation with GGA-PBE was carried out for an optimized crystal structure of Cs2HgPdCl6.

Unit cell a=7.645 b=7.645 c=7.645 alpha=120.06 beta=120.06 gamma=89.89
Element x y z (fractional)
1 Cs 0.750 0.250 0.500
2 Cs 0.250 0.750 0.500
3 Hg 0.500 0.500 0.000
4 Pd 0.000 0.000 0.000
5 Cl 0.719 0.719 0.000
6 Cl 0.281 0.281 0.000
7 Cl 0.218 0.218 0.435
8 Cl 0.782 0.782 0.565
9 Cl 0.218 0.782 0.000
10 Cl 0.782 0.218 0.000

Values from the calculation:
- ΔE_f (raw) (kcal/mol of atoms) = -26.90
- crystal system = tetragonal
- total energy (eV/cell) = -29.946
- magnetic moment (μB/f.u.) = 0.1